Entry 1:
VASP calculation (PBE-GGA) on ZrScCu after structural relaxation.

a b c (Å): 4.805 4.805 5.612
angles (deg): 90.00 90.00 120.00
Fractional positions:
Zr 0.333 0.667 0.250
Zr 0.667 0.333 0.750
Sc 0.333 0.667 0.750
Sc 0.667 0.333 0.250
Cu 0.000 0.000 0.000
Cu 0.000 0.000 0.500

Calculated values
Mass density: 5.912 g/cm3
Density of states at the Fermi level: 3.268 states/eV/f.u.
Energy above the lowest structure with this stoichiometry: 0.475 eV per atom


Entry 2:
VASP calculation (PBE-GGA) on CsNbIO2 after structural relaxation.

a b c (Å): 4.398 4.398 7.226
angles (deg): 90.00 90.00 90.00
Fractional positions:
Cs 0.000 0.000 0.000
Nb 0.500 0.500 0.500
I 0.000 0.000 0.500
O 0.000 0.500 0.000
O 0.500 0.000 0.000

Calculated values
Mass density: 4.570 g/cm3
Density of states at the Fermi level: 7.018 states/eV/f.u.
Energy above the lowest structure with this stoichiometry: 2.023 eV per atom


Entry 3:
VASP calculation (PBE-GGA) on LaAg2Pt after structural relaxation.

a b c (Å): 4.118 4.118 5.169
angles (deg): 90.00 90.00 90.00
Fractional positions:
La 0.000 0.000 0.000
Ag 0.000 0.500 0.500
Ag 0.500 0.000 0.500
Pt 0.500 0.500 0.000

Calculated values
Mass density: 10.413 g/cm3
Density of states at the Fermi level: 1.701 states/eV/f.u.
Energy above the lowest structure with this stoichiometry: 0.104 eV per atom


Entry 4:
VASP calculation (PBE-GGA) on In5AgTe4 after structural relaxation.

a b c (Å): 9.329 9.351 8.636
angles (deg): 90.00 90.00 90.00
Fractional positions:
In 0.073 0.001 0.248
In 0.073 0.499 0.248
In 0.250 0.750 0.837
In 0.427 0.001 0.248
In 0.427 0.499 0.248
In 0.573 0.501 0.752
In 0.573 0.999 0.752
In 0.750 0.250 0.163
In 0.927 0.501 0.752
In 0.927 0.999 0.752
Ag 0.250 0.250 0.755
Ag 0.750 0.750 0.245
Te 0.014 0.250 0.989
Te 0.250 0.517 0.617
Te 0.250 0.983 0.617
Te 0.486 0.250 0.989
Te 0.514 0.750 0.011
Te 0.750 0.017 0.383
Te 0.750 0.483 0.383
Te 0.986 0.750 0.011

Calculated values
Mass density: 5.256 g/cm3
Uncorrected energy: -3.0561 eV per atom
Density of states at the Fermi level: 1.718 states/eV/f.u.


Entry 5:
VASP calculation (PBE-GGA) on K2As2Br after structural relaxation.

a b c (Å): 8.823 8.823 4.395
angles (deg): 90.00 90.00 90.00
Fractional positions:
K 0.203 0.297 0.000
K 0.297 0.797 0.000
K 0.703 0.203 0.000
K 0.797 0.703 0.000
As 0.089 0.589 0.500
As 0.411 0.089 0.500
As 0.589 0.911 0.500
As 0.911 0.411 0.500
Br 0.000 0.000 0.500
Br 0.500 0.500 0.500

Calculated values
Mass density: 2.990 g/cm3
Density of states at the Fermi level: 1.526 states/eV/f.u.
Energy above the lowest structure with this stoichiometry: 0.157 eV per atom


Entry 6:
VASP calculation (PBE-GGA) on Rb3Th2HgTe6 after structural relaxation.

a b c (Å): 11.118 11.118 10.132
angles (deg): 103.25 103.25 23.83
Fractional positions:
Rb 0.000 0.000 0.000
Rb 0.352 0.352 0.658
Rb 0.648 0.648 0.342
Th 0.331 0.331 0.169
Th 0.669 0.669 0.831
Hg 0.000 0.000 0.500
Te 0.176 0.176 0.057
Te 0.182 0.182 0.633
Te 0.474 0.474 0.265
Te 0.526 0.526 0.735
Te 0.818 0.818 0.367
Te 0.824 0.824 0.943

Calculated values
Mass density: 5.693 g/cm3
Uncorrected energy: -4.0958 eV per atom
Density of states at the Fermi level: 3.374 states/eV/f.u.


Entry 7:
VASP calculation (PBE-GGA) on Mg5Sc after structural relaxation.

a b c (Å): 3.279 3.279 12.858
angles (deg): 90.00 90.00 90.00
Fractional positions:
Mg 0.000 0.000 0.000
Mg 0.000 0.000 0.329
Mg 0.000 0.000 0.671
Mg 0.500 0.500 0.164
Mg 0.500 0.500 0.836
Sc 0.500 0.500 0.500

Calculated values
Mass density: 2.000 g/cm3
Uncorrected energy: -2.4010 eV per atom
Density of states at the Fermi level: 3.908 states/eV/f.u.


Entry 8:
VASP calculation (PBE-GGA) on TmPaOs2 after structural relaxation.

a b c (Å): 3.468 3.468 6.695
angles (deg): 90.00 90.00 90.00
Fractional positions:
Tm 0.000 0.000 0.000
Pa 0.000 0.000 0.500
Os 0.500 0.500 0.268
Os 0.500 0.500 0.732

Calculated values
Mass density: 16.094 g/cm3
Density of states at the Fermi level: 2.701 states/eV/f.u.
Energy above the lowest structure with this stoichiometry: 0.000 eV per atom


Entry 9:
VASP calculation (PBE-GGA) on EuHoSnHg after structural relaxation.

a b c (Å): 5.393 5.393 5.393
angles (deg): 60.00 60.00 60.00
Fractional positions:
Eu 0.000 0.000 0.000
Ho 0.500 0.500 0.500
Sn 0.250 0.250 0.250
Hg 0.750 0.750 0.750

Calculated values
Mass density: 9.525 g/cm3
Uncorrected energy: -5.3613 eV per atom
Density of states at the Fermi level: 2.850 states/eV/f.u.


Entry 10:
VASP calculation (PBE-GGA) on La3Er2Zn2 after structural relaxation.

a b c (Å): 15.613 15.613 3.624
angles (deg): 90.00 90.00 166.51
Fractional positions:
La 0.000 0.000 0.000
La 0.412 0.588 0.500
La 0.588 0.412 0.500
Er 0.297 0.703 0.500
Er 0.703 0.297 0.500
Zn 0.153 0.847 0.000
Zn 0.847 0.153 0.000

Calculated values
Mass density: 7.108 g/cm3
Uncorrected energy: -3.8845 eV per atom
Density of states at the Fermi level: 8.298 states/eV/f.u.


Entry 11:
VASP calculation (PBE-GGA) on Hg2PCl after structural relaxation.

a b c (Å): 7.553 7.553 7.553
angles (deg): 150.42 150.42 42.33
Fractional positions:
Hg 0.000 0.000 0.000
Hg 0.750 0.250 0.500
P 0.250 0.750 0.500
Cl 0.500 0.500 0.000

Calculated values
Mass density: 7.410 g/cm3
Density of states at the Fermi level: 2.174 states/eV/f.u.
Energy above the lowest structure with this stoichiometry: 0.565 eV per atom


Entry 12:
VASP calculation (PBE-GGA) on Sr3Dy3ScTe8 after structural relaxation.

a b c (Å): 9.183 9.183 9.183
angles (deg): 57.45 57.45 57.45
Fractional positions:
Sr 0.000 0.500 0.500
Sr 0.500 0.000 0.500
Sr 0.500 0.500 0.000
Dy 0.000 0.000 0.500
Dy 0.000 0.500 0.000
Dy 0.500 0.000 0.000
Sc 0.500 0.500 0.500
Te 0.244 0.244 0.244
Te 0.247 0.738 0.738
Te 0.262 0.262 0.753
Te 0.262 0.753 0.262
Te 0.738 0.247 0.738
Te 0.738 0.738 0.247
Te 0.753 0.262 0.262
Te 0.756 0.756 0.756

Calculated values
Mass density: 5.850 g/cm3
Uncorrected energy: -4.8332 eV per atom
Density of states at the Fermi level: 4.696 states/eV/f.u.


Entry 13:
VASP calculation (PBE-GGA) on Na4Pu3VN8 after structural relaxation.

a b c (Å): 6.830 6.830 6.830
angles (deg): 58.39 58.39 58.39
Fractional positions:
Na 0.000 0.000 0.000
Na 0.000 0.500 0.500
Na 0.500 0.000 0.500
Na 0.500 0.500 0.000
Pu 0.000 0.000 0.500
Pu 0.000 0.500 0.000
Pu 0.500 0.000 0.000
V 0.500 0.500 0.500
N 0.230 0.230 0.230
N 0.242 0.721 0.721
N 0.279 0.279 0.758
N 0.279 0.758 0.279
N 0.721 0.242 0.721
N 0.721 0.721 0.242
N 0.758 0.279 0.279
N 0.770 0.770 0.770

Calculated values
Mass density: 7.552 g/cm3
Uncorrected energy: -8.4472 eV per atom
Density of states at the Fermi level: 18.240 states/eV/f.u.


Entry 14:
VASP calculation (PBE-GGA) on YMnH5 after structural relaxation.

a b c (Å): 4.448 4.448 3.543
angles (deg): 113.24 113.24 65.43
Fractional positions:
Y 0.000 0.000 0.000
Mn 0.500 0.500 0.500
H 0.082 0.594 0.338
H 0.406 0.918 0.662
H 0.500 0.500 0.000
H 0.594 0.082 0.338
H 0.918 0.406 0.662

Calculated values
Mass density: 4.391 g/cm3
Uncorrected energy: -4.8878 eV per atom
Density of states at the Fermi level: 2.256 states/eV/f.u.


Entry 15:
VASP calculation (PBE-GGA) on Ce2Nd7Er2 after structural relaxation.

a b c (Å): 8.131 8.131 6.099
angles (deg): 104.80 104.80 92.87
Fractional positions:
Ce 0.216 0.784 0.000
Ce 0.784 0.216 0.000
Nd 0.000 0.000 0.500
Nd 0.071 0.583 0.318
Nd 0.409 0.409 0.696
Nd 0.417 0.929 0.682
Nd 0.583 0.071 0.318
Nd 0.591 0.591 0.304
Nd 0.929 0.417 0.682
Er 0.224 0.224 0.077
Er 0.776 0.776 0.923

Calculated values
Mass density: 7.210 g/cm3
Uncorrected energy: -4.7503 eV per atom
Density of states at the Fermi level: 24.514 states/eV/f.u.


Entry 16:
VASP calculation (PBE-GGA) on Ca3ZrU3As8 after structural relaxation.

a b c (Å): 8.329 8.329 8.329
angles (deg): 58.78 58.78 58.78
Fractional positions:
Ca 0.000 0.500 0.500
Ca 0.500 0.000 0.500
Ca 0.500 0.500 0.000
Zr 0.500 0.500 0.500
U 0.000 0.000 0.500
U 0.000 0.500 0.000
U 0.500 0.000 0.000
As 0.243 0.739 0.739
As 0.244 0.244 0.244
As 0.261 0.261 0.757
As 0.261 0.757 0.261
As 0.739 0.243 0.739
As 0.739 0.739 0.243
As 0.756 0.756 0.756
As 0.757 0.261 0.261

Calculated values
Mass density: 6.376 g/cm3
Uncorrected energy: -6.5644 eV per atom
Density of states at the Fermi level: 17.741 states/eV/f.u.


Entry 17:
VASP calculation (PBE-GGA) on Hf2Sn2H after structural relaxation.

a b c (Å): 6.236 6.236 4.963
angles (deg): 90.00 90.00 90.00
Fractional positions:
Hf 0.166 0.334 0.000
Hf 0.334 0.834 0.000
Hf 0.666 0.166 0.000
Hf 0.834 0.666 0.000
Sn 0.166 0.666 0.500
Sn 0.334 0.166 0.500
Sn 0.666 0.834 0.500
Sn 0.834 0.334 0.500
H 0.000 0.000 0.000
H 0.500 0.500 0.000

Calculated values
Mass density: 10.245 g/cm3
Density of states at the Fermi level: 3.395 states/eV/f.u.
Energy above the lowest structure with this stoichiometry: 0.130 eV per atom


Entry 18:
VASP calculation (PBE-GGA) on ErMg2Rh after structural relaxation.

a b c (Å): 15.044 8.436 5.357
angles (deg): 90.00 90.00 90.00
Fractional positions:
Er 0.105 0.250 0.247
Er 0.137 0.750 0.038
Er 0.363 0.250 0.538
Er 0.395 0.750 0.747
Er 0.605 0.250 0.253
Er 0.637 0.750 0.462
Er 0.863 0.250 0.962
Er 0.895 0.750 0.753
Mg 0.041 0.054 0.739
Mg 0.041 0.446 0.739
Mg 0.212 0.556 0.530
Mg 0.212 0.944 0.530
Mg 0.288 0.056 0.030
Mg 0.288 0.444 0.030
Mg 0.459 0.554 0.239
Mg 0.459 0.946 0.239
Mg 0.541 0.054 0.761
Mg 0.541 0.446 0.761
Mg 0.712 0.556 0.970
Mg 0.712 0.944 0.970
Mg 0.788 0.056 0.470
Mg 0.788 0.444 0.470
Mg 0.959 0.554 0.261
Mg 0.959 0.946 0.261
Rh 0.067 0.750 0.541
Rh 0.188 0.250 0.728
Rh 0.312 0.750 0.228
Rh 0.433 0.250 0.041
Rh 0.567 0.750 0.959
Rh 0.688 0.250 0.772
Rh 0.812 0.750 0.272
Rh 0.933 0.250 0.459

Calculated values
Mass density: 6.229 g/cm3
Uncorrected energy: -4.2625 eV per atom
Density of states at the Fermi level: 2.509 states/eV/f.u.


Entry 19:
VASP calculation (PBE-GGA) on La2TbHo2Hg5 after structural relaxation.

a b c (Å): 11.038 11.038 4.523
angles (deg): 90.00 90.00 90.00
Fractional positions:
La 0.176 0.324 0.000
La 0.324 0.824 0.000
La 0.676 0.176 0.000
La 0.824 0.676 0.000
Tb 0.000 0.000 0.000
Tb 0.500 0.500 0.000
Ho 0.124 0.624 0.000
Ho 0.376 0.124 0.000
Ho 0.624 0.876 0.000
Ho 0.876 0.376 0.000
Hg 0.000 0.500 0.500
Hg 0.076 0.810 0.500
Hg 0.190 0.076 0.500
Hg 0.310 0.576 0.500
Hg 0.424 0.310 0.500
Hg 0.500 0.000 0.500
Hg 0.576 0.690 0.500
Hg 0.690 0.424 0.500
Hg 0.810 0.924 0.500
Hg 0.924 0.190 0.500

Calculated values
Mass density: 10.664 g/cm3
Uncorrected energy: -2.8685 eV per atom
Density of states at the Fermi level: 7.718 states/eV/f.u.


Entry 20:
VASP calculation (PBE-GGA) on KDyPbI6 after structural relaxation.

a b c (Å): 8.106 8.106 15.497
angles (deg): 90.00 90.00 120.00
Fractional positions:
K 0.000 0.000 0.000
K 0.000 0.000 0.500
Dy 0.333 0.667 0.250
Dy 0.667 0.333 0.750
Pb 0.333 0.667 0.750
Pb 0.667 0.333 0.250
I 0.019 0.374 0.134
I 0.019 0.645 0.366
I 0.355 0.374 0.366
I 0.355 0.981 0.134
I 0.374 0.019 0.634
I 0.374 0.355 0.866
I 0.626 0.645 0.134
I 0.626 0.981 0.366
I 0.645 0.019 0.866
I 0.645 0.626 0.634
I 0.981 0.355 0.634
I 0.981 0.626 0.866

Calculated values
Mass density: 4.408 g/cm3
Uncorrected energy: -3.2490 eV per atom
Density of states at the Fermi level: 0.000 states/eV/f.u.